{
  "formula": "Sc2IrOs",
  "functional": "PBEsol",
  "state": "relaxed",
  "cell": [[-0.0087, 2.7569, -1.1632], [-0.2994, -1.8229, -4.3184], [-4.5688, -0.5440, 2.5939]],
  "species": ["Ir", "Sc", "Sc", "Os"],
  "fractional_positions": [[0.5146, 0.4333, 0.0292], [0.9846, 0.9332, 0.9691], [0.7658, 0.3176, 0.5316], [0.2350, 0.8159, 0.4700]],
  "formation_enthalpy_0k_mev_per_atom": -467,
  "total_energy_ev_per_atom": -9.28,
  "space_group": "Cm",
  "magnetic_moment_mub_per_fu": 0.00,
  "mass_density_g_cm3": 11.867
}

***

{
  "formula": "Sc2IrOs",
  "functional": "PBEsol",
  "state": "relaxed",
  "cell": [[3.1768, 0.0000, 0.0000], [0.0000, 3.1768, 0.0000], [0.0000, 0.0000, 6.3954]],
  "species": ["Sc", "Sc", "Ir", "Os"],
  "fractional_positions": [[0.0000, 0.0000, 0.7468], [0.0000, 0.0000, 0.2532], [0.5000, 0.5000, 0.0000], [0.5000, 0.5000, 0.5000]],
  "formation_enthalpy_0k_mev_per_atom": -683,
  "total_energy_ev_per_atom": -9.50,
  "space_group": "P4/mmm",
  "magnetic_moment_mub_per_fu": 0.00,
  "mass_density_g_cm3": 12.152
}

***

{
  "formula": "Sc2IrOs",
  "functional": "PBEsol",
  "state": "relaxed",
  "cell": [[-4.2526, -1.0934, -0.9553], [-2.6997, -1.5608, 3.2355], [-3.3725, 2.5432, 1.5334]],
  "species": ["Ir", "Sc", "Sc", "Os"],
  "fractional_positions": [[0.5000, 0.5000, 0.5000], [0.7500, 0.7500, 0.7500], [0.2500, 0.2500, 0.2500], [0.0000, 0.0000, 0.0000]],
  "formation_enthalpy_0k_mev_per_atom": -688,
  "total_energy_ev_per_atom": -9.50,
  "space_group": "Fm-3m",
  "magnetic_moment_mub_per_fu": 0.00,
  "mass_density_g_cm3": 12.225
}

***

{
  "formula": "Sc2IrOs",
  "functional": "PBEsol",
  "state": "relaxed",
  "cell": [[-2.2842, -0.8385, 1.6397], [0.2575, -2.2945, 1.8106], [2.0719, 4.5364, 7.8315]],
  "species": ["Ir", "Sc", "Sc", "Os"],
  "fractional_positions": [[0.5000, 0.5000, 0.5000], [0.9106, 0.9106, 0.2682], [0.0894, 0.0894, 0.7318], [0.0000, 0.0000, 0.0000]],
  "formation_enthalpy_0k_mev_per_atom": 131,
  "total_energy_ev_per_atom": -8.68,
  "space_group": "R-3m",
  "magnetic_moment_mub_per_fu": 0.00,
  "mass_density_g_cm3": 11.524
}

***

{
  "formula": "Sc2IrOs",
  "functional": "PBEsol",
  "state": "relaxed",
  "cell": [[-0.1993, 1.6326, -3.4275], [-3.7250, -0.7469, -0.1392], [1.0871, 3.5570, 3.7395]],
  "species": ["Os", "Ir", "Sc", "Sc"],
  "fractional_positions": [[0.2500, 0.7500, 0.5000], [0.5000, 0.5000, 0.0000], [0.7500, 0.2500, 0.5000], [0.0000, 0.0000, 0.0000]],
  "formation_enthalpy_0k_mev_per_atom": -389,
  "total_energy_ev_per_atom": -9.20,
  "space_group": "I-4m2",
  "magnetic_moment_mub_per_fu": 0.00,
  "mass_density_g_cm3": 11.960
}

***

{
  "formula": "IrOsSe2",
  "functional": "PBEsol",
  "state": "relaxed",
  "cell": [[-0.1000, 1.4088, 2.4575], [-1.1358, -3.7461, 2.1012], [4.7787, -1.0138, 0.7757]],
  "species": ["Ir", "Se", "Se", "Os"],
  "fractional_positions": [[0.5000, 0.5000, 0.0000], [0.5000, 0.0000, 0.5000], [0.0000, 0.0000, 0.0000], [0.0000, 0.5000, 0.5000]],
  "raw_formation_energy_mev_per_atom": 811,
  "total_energy_ev_per_atom": -6.62,
  "space_group": "Pmmm",
  "magnetic_moment_mub_per_fu": 0.00,
  "mass_density_g_cm3": 14.406
}

***

{
  "formula": "Ir2OsSe",
  "functional": "PBEsol",
  "state": "relaxed",
  "cell": [[-0.2347, 2.1351, 1.7970], [-3.9221, -2.6612, 0.4675], [3.0955, -2.0932, 2.8912]],
  "species": ["Se", "Ir", "Ir", "Os"],
  "fractional_positions": [[0.5000, 0.0000, 0.0000], [0.2450, 0.4900, 0.2583], [0.7550, 0.5100, 0.7417], [0.0000, 0.0000, 0.5000]],
  "raw_formation_energy_mev_per_atom": 490,
  "total_energy_ev_per_atom": -8.44,
  "space_group": "C2/m",
  "magnetic_moment_mub_per_fu": 0.00,
  "mass_density_g_cm3": 18.575
}

***

{
  "formula": "IrOs2Se",
  "functional": "PBEsol",
  "state": "relaxed",
  "cell": [[4.3851, 0.0000, 0.0000], [2.1926, 3.7976, 0.0000], [2.1926, 1.2659, 3.5804]],
  "species": ["Os", "Os", "Ir", "Se"],
  "fractional_positions": [[0.7500, 0.7500, 0.7500], [0.0000, 0.0000, 0.0000], [0.5000, 0.5000, 0.5000], [0.2500, 0.2500, 0.2500]],
  "raw_formation_energy_mev_per_atom": 987,
  "total_energy_ev_per_atom": -8.54,
  "space_group": "F-43m",
  "magnetic_moment_mub_per_fu": 1.62,
  "mass_density_g_cm3": 18.148
}

***

{
  "formula": "Ir2OsSe",
  "functional": "PBEsol",
  "state": "relaxed",
  "cell": [[-2.3826, -0.8257, -1.2110], [3.4270, -0.4688, -3.1919], [0.1854, -4.1658, 2.4755]],
  "species": ["Ir", "Ir", "Se", "Os"],
  "fractional_positions": [[0.0025, 0.0051, 0.0059], [0.2409, 0.4818, 0.7420], [0.7675, 0.5351, 0.2235], [0.4890, 0.9781, 0.5286]],
  "raw_formation_energy_mev_per_atom": 464,
  "total_energy_ev_per_atom": -8.46,
  "space_group": "Cm",
  "magnetic_moment_mub_per_fu": 0.00,
  "mass_density_g_cm3": 18.358
}

***

{
  "formula": "Ir2OsSe",
  "functional": "PBEsol",
  "state": "relaxed",
  "cell": [[2.7881, 0.0000, 0.0000], [0.0000, 4.7148, -0.0047], [0.0000, -1.5657, 4.4473]],
  "species": ["Ir", "Ir", "Se", "Os"],
  "fractional_positions": [[0.0000, 0.0000, 0.5000], [0.0000, 0.5000, 0.0000], [0.5000, 0.5000, 0.5000], [0.5000, 0.0000, 0.0000]],
  "raw_formation_energy_mev_per_atom": 492,
  "total_energy_ev_per_atom": -8.44,
  "space_group": "Cmmm",
  "magnetic_moment_mub_per_fu": 0.00,
  "mass_density_g_cm3": 18.572
}